[1]
A geometry-optimized YHo12Th7 structure. Source: the Alexandria database, functional GGA-PBE.

The space group is R-3 (No. 148, hexagonal axes) and the conventional cell measures 11.9097, 11.9097 and 15.9368 Å, with angles of 90.00, 90.00 and 120.00 degrees. Symmetry generates all atoms from Y at (0.0000, 0.0000, 0.0000), Ho at (0.0229, 0.5789, 0.7209), Ho at (0.0499, 0.4625, 0.0837), Th at (0.0000, 0.0000, 0.5000) and Th at (0.0558, 0.8716, 0.7903).

The energy of formation from the pure elements comes out at 0.27 eV per atom.

=====

[2]
A geometry-optimized TbNdI6 structure. Source: the Alexandria database, functional GGA-PBE.

The space group is C2/m (No. 12) and the conventional cell measures 7.5987, 14.4940 and 7.5970 Å, with angles of 90.00, 108.14 and 90.00 degrees. Symmetry generates all atoms from Tb at (0.0000, 0.0000, 0.0000), Nd at (0.0000, 0.5000, 0.5000), I at (0.2434, 0.1485, 0.2440) and I at (0.2469, 0.0000, 0.7528).

The formation energy (no corrections) comes out at -1.37 eV per atom.

=====

In Bohr magnetons per cell, the magnetic moment values for the records above are, in order, 0.00 0.00.